# Rb2BPd, relaxed, DFT PBEsol
data_Rb2BPd
_cell_length_a 12.568
_cell_length_b 12.568
_cell_length_c 4.017
_cell_angle_alpha 90.00
_cell_angle_beta 90.00
_cell_angle_gamma 90.00
_symmetry_space_group_name_H-M 'I -4 2 d'
_symmetry_Int_Tables_number 122
_symmetry_space_group_name_Hall 'I -4 2bw'
loop_
_atom_site_label
_atom_site_fract_x
_atom_site_fract_y
_atom_site_fract_z
_atom_site_occupancy
Rb1 0.045 0.750 0.125 1
B1 0.000 0.000 0.500 1
Pd1 0.000 0.000 0.000 1
# density of states at the Fermi level	7.247	states/eV/cell
# E	-3.3314	eV/atom
# energy of formation from the pure elements	0.4250	eV/atom
# calculated density	3017	kg/m3

=====

# ZrRh2, relaxed, DFT PBEsol
data_ZrRh2
_cell_length_a 3.0829
_cell_length_b 3.0829
_cell_length_c 6.0879
_cell_angle_alpha 90.00
_cell_angle_beta 90.00
_cell_angle_gamma 120.00
_symmetry_space_group_name_H-M 'P -3 m 1'
_symmetry_Int_Tables_number 164
_symmetry_space_group_name_Hall '-P 3 2"'
loop_
_atom_site_label
_atom_site_fract_x
_atom_site_fract_y
_atom_site_fract_z
_atom_site_occupancy
Zr1 0.0000 0.0000 0.0000 1
Rh1 0.3333 0.6667 0.6821 1
# density of states at the Fermi level	2.015	states/eV/cell
# E	-8.6134	eV/atom
# energy of formation from the pure elements	-0.1579	eV/atom
# calculated density	9843	kg/m3

=====

# NiPNO2, relaxed, DFT PBEsol
data_NiPNO2
_cell_length_a 3.296
_cell_length_b 3.296
_cell_length_c 3.750
_cell_angle_alpha 90.00
_cell_angle_beta 90.00
_cell_angle_gamma 90.00
_symmetry_space_group_name_H-M 'P 4/m m m'
_symmetry_Int_Tables_number 123
_symmetry_space_group_name_Hall '-P 4 2'
loop_
_atom_site_label
_atom_site_fract_x
_atom_site_fract_y
_atom_site_fract_z
_atom_site_occupancy
Ni1 0.000 0.000 0.000 1
P1 0.500 0.500 0.500 1
N1 0.500 0.500 0.000 1
O1 0.000 0.500 0.500 1
# density of states at the Fermi level	4.533	states/eV/cell
# E	-6.3613	eV/atom
# calculated density	5529	kg/m3